The following is a DFT calculation (PBE-GGA) of an optimized crystal structure of Co2AsP.

Cell: 7.3436 3.1854 4.6873 Å, 90.00 102.26 90.00°
Closest atoms and distances in Å follow each position.
Space group Cm (No. 8)
One atom of each set of equivalent atoms:
Co: 0.0000 0.0000 0.0000 (multiplicity 2)  2 P 2.19, 3 As 2.38-2.44
Co: 0.2114 0.0000 0.6139 (multiplicity 2)  3 P 2.17-2.23
As: 0.2386 0.5000 0.2267 (multiplicity 2)  5 Co 2.38-2.45
P: 0.0132 0.5000 0.6844 (multiplicity 2)  5 Co 2.17-2.23

Summary:
- spin magnetization (μB/atom) = 0.0004
- electronic total energy (eV/atom) = -6.27
- DOS at the Fermi energy (states/eV per atom) = 0.89
- relative energy among the computed polymorphs (meV/atom) = 40
- ΔE_f (eV/f.u.) = -0.824